Mg2TlCu: relaxed, PBE-GGA.

The formation energy comes out at 116 meV per atom. The density of states at the Fermi level is 5.224 states/eV/cell.

It has space group R3m (No. 160, hexagonal axes), with a = 3.7372 Å, b = 3.7372 Å, c = 22.3803 Å, α = 90.00°, β = 90.00° and γ = 120.00°. The inequivalent atoms are Mg at (0.0000, 0.0000, 0.0000), Mg at (0.0000, 0.0000, 0.1992), Tl at (0.0000, 0.0000, 0.4330) and Cu at (0.0000, 0.0000, 0.5985).


Ac2Mg4Ga3Hg: relaxed, PBE-GGA.

The formation energy comes out at -366 meV per atom. The density of states at the Fermi level is 4.297 states/eV/cell.

It has space group P-4m2 (No. 115), with a = 4.6868 Å, b = 4.6868 Å, c = 11.4166 Å, α = 90.00°, β = 90.00° and γ = 90.00°. The inequivalent atoms are Ac at (0.0000, 0.5000, 0.2505), Mg at (0.0000, 0.0000, 0.0000), Mg at (0.0000, 0.5000, 0.6297), Mg at (0.5000, 0.5000, 0.0000), Ga at (0.0000, 0.5000, 0.8631), Ga at (0.5000, 0.5000, 0.5000) and Hg at (0.0000, 0.0000, 0.5000).


Zr2TlAs: relaxed, PBE-GGA.

The formation energy comes out at -304 meV per atom. The calculation puts the energy above the most stable polymorph in this dataset at 0.278 eV per atom. The density of states at the Fermi level is 1.679 states/eV/cell.

It has space group Pm (No. 6), with a = 3.2707 Å, b = 4.9774 Å, c = 5.5799 Å, α = 90.00°, β = 104.61° and γ = 90.00°. The inequivalent atoms are Zr at (0.0000, 0.0000, 0.0000), Zr at (0.0919, 0.5000, 0.5484), Tl at (0.5629, 0.0000, 0.4842) and As at (0.6280, 0.5000, 0.0173).